Crystalline NaScS2 at its relaxed geometry. Source: Alexandria, functional PBE.

a b c (Å): 3.848 3.848 5.201
angles (deg): 90.00 90.00 90.00
Element x y z (fractional)
Na 0.000 0.000 0.000
Sc 0.500 0.500 0.500
S 0.000 0.000 0.500
S 0.500 0.500 0.000

Properties
As for the raw total energy: -5.494 eV/atom. The size of the total moment is 0.00 μB per cell. As for the uncorrected formation energy: -6.1 eV/f.u. Its crystal system is tetragonal.